Below is MnFe12Co6 after structural relaxation, with properties calculated at the PBE level.

Its formation energy is 407 meV per atom. Its total DFT energy (no corrections) is -145.63 eV for the cell shown.

Cell lengths 6.603, 6.603, 6.603 Å; angles 105.42, 105.42, 105.42 degrees
Positions (direct):
Mn1 0.000 0.000 0.000
Fe1 0.116 0.500 0.884
Fe2 0.116 0.884 0.500
Fe3 0.119 0.372 0.372
Fe4 0.372 0.119 0.372
Fe5 0.372 0.372 0.119
Fe6 0.500 0.116 0.884
Fe7 0.500 0.884 0.116
Fe8 0.628 0.628 0.881
Fe9 0.628 0.881 0.628
Fe10 0.881 0.628 0.628
Fe11 0.884 0.116 0.500
Fe12 0.884 0.500 0.116
Co1 0.296 0.296 0.699
Co2 0.296 0.699 0.296
Co3 0.301 0.704 0.704
Co4 0.699 0.296 0.296
Co5 0.704 0.301 0.704
Co6 0.704 0.704 0.301


Below is NdPuInGe after structural relaxation, with properties calculated at the PBE level.

Its formation energy is -321 meV per atom. Its total DFT energy (no corrections) is -27.74 eV for the cell shown.

Cell lengths 5.289, 5.289, 5.289 Å; angles 60.00, 60.00, 60.00 degrees
Positions (direct):
Nd1 0.000 0.000 0.000
Pu1 0.500 0.500 0.500
In1 0.250 0.250 0.250
Ge1 0.750 0.750 0.750


- Number 2 is which compound?
  NdPuInGe


Copy entry 2 word for word.
Below is NdPuInGe after structural relaxation, with properties calculated at the PBE level.

Its formation energy is -321 meV per atom. Its total DFT energy (no corrections) is -27.74 eV for the cell shown.

Cell lengths 5.289, 5.289, 5.289 Å; angles 60.00, 60.00, 60.00 degrees
Positions (direct):
Nd1 0.000 0.000 0.000
Pu1 0.500 0.500 0.500
In1 0.250 0.250 0.250
Ge1 0.750 0.750 0.750


Please write out number 1 again, unchanged.
Below is MnFe12Co6 after structural relaxation, with properties calculated at the PBE level.

Its formation energy is 407 meV per atom. Its total DFT energy (no corrections) is -145.63 eV for the cell shown.

Cell lengths 6.603, 6.603, 6.603 Å; angles 105.42, 105.42, 105.42 degrees
Positions (direct):
Mn1 0.000 0.000 0.000
Fe1 0.116 0.500 0.884
Fe2 0.116 0.884 0.500
Fe3 0.119 0.372 0.372
Fe4 0.372 0.119 0.372
Fe5 0.372 0.372 0.119
Fe6 0.500 0.116 0.884
Fe7 0.500 0.884 0.116
Fe8 0.628 0.628 0.881
Fe9 0.628 0.881 0.628
Fe10 0.881 0.628 0.628
Fe11 0.884 0.116 0.500
Fe12 0.884 0.500 0.116
Co1 0.296 0.296 0.699
Co2 0.296 0.699 0.296
Co3 0.301 0.704 0.704
Co4 0.699 0.296 0.296
Co5 0.704 0.301 0.704
Co6 0.704 0.704 0.301


- The lowest total DFT energy (no corrections) belongs to which entry?
  MnFe12Co6